No. 1
{
  "formula": "KPdF",
  "functional": "PBE-GGA",
  "state": "optimized geometry",
  "lattice_angstrom": [[6.547, -0.011, 0.007], [1.799, 4.507, 0.004], [4.302, 0.881, 4.856]],
  "species": ["K", "K", "F", "F", "Pd", "Pd"],
  "fractional_positions": [[0.019, 0.217, 0.503], [0.428, 0.806, 0.912], [0.535, 0.199, 0.019], [0.912, 0.823, 0.396], [0.904, 0.512, 0.027], [0.733, 0.011, 0.198]],
  "dos_ef_per_ev_cell": 0.00,
  "total_magnetization_mub_per_atom": 0.000,
  "total_energy_ev_per_fu": -11.72
}



No. 2
{
  "formula": "K2PdF",
  "functional": "PBE-GGA",
  "state": "optimized geometry",
  "lattice_angstrom": [[-7.156, 1.676, -1.261], [-1.410, -7.164, -1.518], [-5.191, -3.456, 2.818]],
  "species": ["Pd", "Pd", "K", "K", "K", "K", "F", "F"],
  "fractional_positions": [[0.750, 0.250, 0.500], [0.000, 0.000, 0.000], [0.375, 0.453, 0.750], [0.875, 0.797, 0.750], [0.203, 0.625, 0.250], [0.547, 0.125, 0.250], [0.500, 0.500, 0.000], [0.250, 0.750, 0.500]],
  "dos_ef_per_ev_cell": 0.72,
  "total_magnetization_mub_per_atom": 0.000,
  "total_energy_ev_per_fu": -13.21
}



No. 3
{
  "formula": "KPdF",
  "functional": "PBE-GGA",
  "state": "optimized geometry",
  "lattice_angstrom": [[-3.362, -0.429, -0.799], [-0.932, -6.877, 7.616], [-0.852, 2.549, 2.216]],
  "species": ["K", "K", "F", "F", "Pd", "Pd"],
  "fractional_positions": [[0.499, 0.593, 0.260], [0.999, 0.260, 0.765], [0.999, 0.661, 0.759], [0.499, 0.342, 0.264], [0.498, 0.974, 0.258], [0.998, 0.887, 0.759]],
  "dos_ef_per_ev_cell": 4.21,
  "total_magnetization_mub_per_atom": 0.000,
  "total_energy_ev_per_fu": -12.40
}



No. 4
{
  "formula": "K2PdF4",
  "functional": "PBE-GGA",
  "state": "optimized geometry",
  "lattice_angstrom": [[5.835, 0.005, 0.015], [2.703, 5.172, 0.015], [0.202, 0.123, 4.306]],
  "species": ["Pd", "F", "F", "F", "F", "K", "K"],
  "fractional_positions": [[0.000, 0.000, 0.000], [0.874, 0.348, 0.784], [0.652, 0.126, 0.216], [0.126, 0.652, 0.216], [0.348, 0.874, 0.784], [0.655, 0.655, 0.278], [0.345, 0.345, 0.722]],
  "dos_ef_per_ev_cell": 0.00,
  "total_magnetization_mub_per_atom": 0.030,
  "total_energy_ev_per_fu": -30.11
}



No. 5
{
  "formula": "KPdF3",
  "functional": "PBE-GGA",
  "state": "optimized geometry",
  "lattice_angstrom": [[-1.919, -1.700, 3.979], [3.667, -2.949, 0.508], [2.297, 3.288, 2.513]],
  "species": ["F", "F", "F", "Pd", "K"],
  "fractional_positions": [[0.500, 0.000, 0.000], [0.000, 0.000, 0.500], [0.000, 0.500, 0.000], [0.500, 0.500, 0.500], [0.000, 0.000, 0.000]],
  "dos_ef_per_ev_cell": 11.98,
  "total_magnetization_mub_per_atom": 0.400,
  "total_energy_ev_per_fu": -15.39
}



No. 6
{
  "formula": "K2PdF",
  "functional": "PBE-GGA",
  "state": "optimized geometry",
  "lattice_angstrom": [[0.000, 3.701, 3.701], [3.701, 0.000, 3.701], [3.701, 3.701, 0.000]],
  "species": ["K", "K", "F", "Pd"],
  "fractional_positions": [[0.250, 0.250, 0.250], [0.750, 0.750, 0.750], [0.000, 0.000, 0.000], [0.500, 0.500, 0.500]],
  "dos_ef_per_ev_cell": 3.51,
  "total_magnetization_mub_per_atom": 0.027,
  "total_energy_ev_per_fu": -12.25
}



No. 7
{
  "formula": "K2Pd2F7",
  "functional": "PBE-GGA",
  "state": "optimized geometry",
  "lattice_angstrom": [[-0.141, 2.774, -3.965], [2.347, -6.711, -2.399], [-6.577, 1.156, 3.422]],
  "species": ["Pd", "Pd", "K", "K", "F", "F", "F", "F", "F", "F", "F"],
  "fractional_positions": [[0.188, 0.802, 0.802], [0.812, 0.198, 0.198], [0.500, 0.317, 0.683], [0.500, 0.683, 0.317], [0.329, 0.588, 0.588], [0.671, 0.412, 0.412], [0.829, 0.065, 0.362], [0.171, 0.935, 0.638], [0.171, 0.638, 0.935], [0.829, 0.362, 0.065], [0.000, 0.000, 0.000]],
  "dos_ef_per_ev_cell": 2.74,
  "total_magnetization_mub_per_atom": 0.058,
  "total_energy_ev_per_fu": -46.01
}



No. 8
{
  "formula": "K2PdF4",
  "functional": "PBE-GGA",
  "state": "optimized geometry",
  "lattice_angstrom": [[-5.615, 3.087, 2.175], [1.558, -1.045, 5.898], [5.250, 4.232, -0.773]],
  "species": ["F", "F", "F", "F", "F", "F", "F", "F", "K", "K", "K", "K", "Pd", "Pd"],
  "fractional_positions": [[0.549, 0.647, 0.309], [0.310, 0.852, 0.549], [0.690, 0.148, 0.451], [0.810, 0.352, 0.049], [0.190, 0.648, 0.951], [0.050, 0.148, 0.809], [0.451, 0.353, 0.691], [0.950, 0.852, 0.191], [0.920, 0.774, 0.580], [0.080, 0.226, 0.420], [0.580, 0.726, 0.920], [0.420, 0.274, 0.080], [0.250, 0.750, 0.250], [0.750, 0.250, 0.750]],
  "dos_ef_per_ev_cell": 0.00,
  "total_magnetization_mub_per_atom": 0.026,
  "total_energy_ev_per_fu": -29.63
}